(1)
The following is a DFT calculation (PBE) of a relaxed CoC5 crystal.

Geometry as POSCAR:
```
CoC5
1.0
-0.349 5.373 4.275
-0.633 -3.014 -6.147
-2.339 -0.563 0.517
Co C
1 5
direct
0.948 0.052 0.500 Co
0.846 0.154 0.000 C
0.526 0.474 0.000 C
0.743 0.257 0.000 C
0.582 0.418 0.500 C
0.689 0.311 0.500 C
```

Computed properties:
- ΔE_f (meV per atom) = 615

=====

(2)
The following is a DFT calculation (PBE) of a relaxed CoC2 crystal.

Geometry as POSCAR:
```
CoC2
1.0
3.243 0.000 0.000
1.622 2.809 0.000
1.622 0.936 2.648
C Co
2 1
direct
0.250 0.250 0.250 C
0.750 0.750 0.750 C
0.000 0.000 0.000 Co
```

Computed properties:
- ΔE_f (meV per atom) = 1726

=====

(3)
The following is a DFT calculation (PBE) of a relaxed CoC2 crystal.

Geometry as POSCAR:
```
CoC2
1.0
-3.637 -0.617 1.707
-1.324 2.498 2.920
-3.060 2.566 -0.754
Co C
2 4
direct
0.500 0.500 0.500 Co
0.750 0.750 0.750 Co
0.625 0.125 0.125 C
0.125 0.625 0.125 C
0.125 0.125 0.625 C
0.125 0.125 0.125 C
```

Computed properties:
- ΔE_f (meV per atom) = 2692

=====

Uncorrected energy across the listed records, respectively: -8.2557, -6.7916, -5.8256 eV/atom.
Distance to the lowest polymorph of the same formula across the listed records, respectively: 0.0, 1235.3, 2201.3 meV per atom.